This record from the Alexandria database describes a relaxed structure of PmSn2Pb. The functional is GGA-PBE.

Cell: 4.8729 4.8729 4.7109 Å, 90.00 90.00 90.00°
Space group P4/mmm (No. 123)
One atom of each set of equivalent atoms:
Pm1 0.0000 0.0000 0.0000
Sn1 0.0000 0.5000 0.5000
Pb1 0.5000 0.5000 0.0000

Computed properties:
Density, g cm⁻³: 8.8
DFT formation energy, eV/atom: -0.4373
ΔE to the lowest computed polymorph, meV/atom: 0
Total energy, eV/atom: -4.553